Record 1
A geometry-optimized ZrCuBr3 structure. Source: Alexandria via LeMat-Bulk, functional PBE.

Geometry as extended XYZ:
```
5
Lattice="5.0136 0.0000 0.0000 0.0000 5.0136 0.0000 0.0000 0.0000 5.0136" Properties=species:S:1:pos:R:3 pbc="T T T"
Zr 0.0000 0.0000 0.0000
Cu 2.5068 2.5068 2.5068
Br 0.0000 2.5068 2.5068
Br 2.5068 0.0000 2.5068
Br 2.5068 2.5068 0.0000
```

Output
energy relative to the elements, uncorrected	0.0803	eV/atom
crystal system	cubic



Record 2
A geometry-optimized CsDyHgBr6 structure. Source: Alexandria via LeMat-Bulk, functional PBE.

Geometry as extended XYZ:
```
9
Lattice="7.4109 0.0000 0.0000 -3.7055 6.4180 0.0000 0.0000 0.0000 8.0677" Properties=species:S:1:pos:R:3 pbc="T T T"
Cs 0.0000 0.0000 0.0000
Dy 0.0000 4.2787 4.0339
Hg 3.7055 2.1393 4.0339
Br -1.3822 2.4626 5.6919
Br -2.2639 3.9898 2.3758
Br 1.3822 2.4626 2.3758
Br -0.8818 6.3837 5.6919
Br 2.2639 3.9898 5.6919
Br 0.8818 6.3837 2.3758
```

Output
energy relative to the elements, uncorrected	-1.3889	eV/atom
crystal system	trigonal



Record 3
A geometry-optimized FeB2Mo structure. Source: Alexandria via LeMat-Bulk, functional PBE.

Geometry as extended XYZ:
```
8
Lattice="3.7605 0.0000 0.0000 0.0000 2.9616 0.0000 -0.9412 0.0000 6.7248" Properties=species:S:1:pos:R:3 pbc="T T T"
Fe 0.0045 0.7404 2.4659
Fe 2.8148 2.2212 4.2589
B -0.0014 0.7404 0.4493
B 0.9387 2.2212 3.5417
B 1.8806 0.7404 3.1830
B 2.8207 2.2212 6.2755
Mo 0.9643 0.7404 5.5291
Mo 1.8551 2.2212 1.1956
```

Output
crystal system	monoclinic
ΔE_f	-313	meV per atom



Record 4
A geometry-optimized PmSm5Mg4 structure. Source: Alexandria via LeMat-Bulk, functional PBE.

Geometry as extended XYZ:
```
10
Lattice="3.7950 0.0000 0.0000 0.0000 3.7950 0.0000 0.0000 0.0000 20.6216" Properties=species:S:1:pos:R:3 pbc="T T T"
Pm 0.0000 0.0000 0.0000
Sm 1.8975 1.8975 2.4806
Sm 1.8975 1.8975 6.4110
Sm 1.8975 1.8975 10.3108
Sm 1.8975 1.8975 14.2106
Sm 1.8975 1.8975 18.1410
Mg 0.0000 0.0000 4.4549
Mg 0.0000 0.0000 8.3457
Mg 0.0000 0.0000 12.2759
Mg 0.0000 0.0000 16.1667
```

Output
crystal system	tetragonal
ΔE_f	-72	meV per atom



Record 5
A geometry-optimized La4Nd3Sm4 structure. Source: Alexandria via LeMat-Bulk, functional PBE.

Geometry as extended XYZ:
```
11
Lattice="-1.8292 4.8366 11.3107 1.8292 -4.8366 11.3107 1.8292 4.8366 -11.3107" Properties=species:S:1:pos:R:3 pbc="T T T"
La 1.8292 -3.1900 8.0105
La 0.0000 1.6466 3.3003
La 1.8292 3.1900 8.0105
La 0.0000 8.0265 3.3003
Nd 1.8292 0.0000 0.0000
Nd 0.0000 0.0000 8.9117
Nd 0.0000 0.0000 13.7098
Sm 1.8292 0.0000 5.9584
Sm 0.0000 3.0396 0.0000
Sm 0.0000 6.6336 0.0000
Sm 0.0000 4.8366 5.3524
```

Output
crystal system	orthorhombic
ΔE_f	121	meV per atom



Record 6
A geometry-optimized U2CoOs structure. Source: Alexandria via LeMat-Bulk, functional PBE.

Geometry as extended XYZ:
```
4
Lattice="4.8722 0.0000 0.0000 0.0000 4.8722 0.0000 0.0000 0.0000 3.1174" Properties=species:S:1:pos:R:3 pbc="T T T"
U 0.0000 2.4361 0.0000
U 2.4361 0.0000 0.0000
Co 0.0000 0.0000 1.5587
Os 2.4361 2.4361 1.5587
```

Output
crystal system	tetragonal
ΔE_f	66	meV per atom



Record 7
A geometry-optimized CdPb3O structure. Source: Alexandria via LeMat-Bulk, functional PBE.

Geometry as extended XYZ:
```
5
Lattice="5.6111 0.0000 0.0000 0.0000 5.6111 0.0000 0.0000 0.0000 5.6111" Properties=species:S:1:pos:R:3 pbc="T T T"
Cd 0.0000 0.0000 0.0000
Pb 0.0000 0.0000 2.8056
Pb 0.0000 2.8056 0.0000
Pb 2.8056 0.0000 0.0000
O 2.8056 2.8056 2.8056
```

Output
energy relative to the elements, uncorrected	0.8414	eV/atom
crystal system	cubic



Record 8
A geometry-optimized Re2HgW structure. Source: Alexandria via LeMat-Bulk, functional PBE.

Geometry as extended XYZ:
```
8
Lattice="3.1028 0.0000 0.0000 0.0000 4.5875 0.0000 0.0000 0.0000 9.3470" Properties=species:S:1:pos:R:3 pbc="T T T"
Re 0.0000 0.0000 0.0000
Re 0.0000 2.2937 2.5240
Re 1.5514 0.0000 7.1975
Re 1.5514 2.2937 4.6735
Hg 0.0000 0.0000 4.7233
Hg 1.5514 2.2937 0.0498
W 0.0000 2.2937 6.8724
W 1.5514 0.0000 2.1989
```

Output
crystal system	orthorhombic
ΔE_f	714	meV per atom



Record 9
A geometry-optimized NiAs2Ir structure. Source: Alexandria via LeMat-Bulk, functional PBE.

Geometry as extended XYZ:
```
16
Lattice="6.2311 0.0000 0.0000 0.0000 6.2311 0.0000 0.0000 0.0000 6.2311" Properties=species:S:1:pos:R:3 pbc="T T T"
Ni 0.0000 0.0000 0.0000
Ni 0.0000 3.1155 3.1155
Ni 3.1155 0.0000 3.1155
Ni 3.1155 3.1155 0.0000
As 0.0000 0.0000 3.1155
As 0.0000 3.1155 0.0000
As 1.5578 1.5578 4.6733
As 1.5578 4.6733 1.5578
As 3.1155 0.0000 0.0000
As 3.1155 3.1155 3.1155
As 4.6733 1.5578 1.5578
As 4.6733 4.6733 4.6733
Ir 1.5578 1.5578 1.5578
Ir 1.5578 4.6733 4.6733
Ir 4.6733 1.5578 4.6733
Ir 4.6733 4.6733 1.5578
```

Output
crystal system	cubic
ΔE_f	439	meV per atom



Record 10
A geometry-optimized SrTi3Ag structure. Source: Alexandria via LeMat-Bulk, functional PBE.

Geometry as extended XYZ:
```
5
Lattice="4.7712 0.0000 0.0000 0.0000 4.7712 0.0000 0.0000 0.0000 4.7712" Properties=species:S:1:pos:R:3 pbc="T T T"
Sr 0.0000 0.0000 0.0000
Ti 0.0000 0.0000 2.3856
Ti 0.0000 2.3856 0.0000
Ti 2.3856 0.0000 0.0000
Ag 2.3856 2.3856 2.3856
```

Output
crystal system	cubic
ΔE_f	1902	meV per atom



Record 11
A geometry-optimized La2In5Br12 structure. Source: Alexandria via LeMat-Bulk, functional PBE.

Geometry as extended XYZ:
```
19
Lattice="9.3159 -4.4747 0.0000 9.3159 4.4747 0.0000 -3.9186 0.0000 9.3846" Properties=species:S:1:pos:R:3 pbc="T T T"
La 9.3159 2.2712 0.0000
La 9.3159 -2.2712 0.0000
In 0.1491 0.0000 7.6414
In 3.2053 0.0000 3.3091
In 7.3566 0.0000 4.6923
In 11.5080 0.0000 6.0755
In 14.5641 0.0000 1.7432
Br -0.5492 0.0000 1.9449
Br 2.6011 2.3999 8.6624
Br 5.5394 2.0098 3.6979
Br 9.1738 2.0098 5.6866
Br 12.1121 2.3999 0.7222
Br 5.7535 0.0000 7.4532
Br 8.9597 0.0000 1.9314
Br 2.6011 -2.3999 8.6624
Br 5.5394 -2.0098 3.6979
Br 9.1738 -2.0098 5.6866
Br 12.1121 -2.3999 0.7222
Br 15.2625 0.0000 7.4397
```

Output
energy relative to the elements, uncorrected	-1.1801	eV/atom
crystal system	monoclinic



Record 12
A geometry-optimized Pr4ScTl3 structure. Source: Alexandria via LeMat-Bulk, functional PBE.

Geometry as extended XYZ:
```
16
Lattice="5.7081 0.0000 0.0000 0.0000 5.7081 0.0000 0.0000 0.0000 14.9632" Properties=species:S:1:pos:R:3 pbc="T T T"
Pr 0.0000 2.8541 1.8591
Pr 0.0000 2.8541 5.6224
Pr 0.0000 2.8541 9.3407
Pr 0.0000 2.8541 13.1040
Pr 2.8541 0.0000 1.8591
Pr 2.8541 0.0000 5.6224
Pr 2.8541 0.0000 9.3407
Pr 2.8541 0.0000 13.1040
Sc 0.0000 0.0000 0.0000
Sc 2.8541 2.8541 7.4816
Tl 0.0000 0.0000 3.6398
Tl 0.0000 0.0000 7.4816
Tl 0.0000 0.0000 11.3233
Tl 2.8541 2.8541 0.0000
Tl 2.8541 2.8541 3.8418
Tl 2.8541 2.8541 11.1214
```

Output
crystal system	tetragonal
ΔE_f	-235	meV per atom



Repeat the second record exactly.
A geometry-optimized CsDyHgBr6 structure. Source: Alexandria via LeMat-Bulk, functional PBE.

Geometry as extended XYZ:
```
9
Lattice="7.4109 0.0000 0.0000 -3.7055 6.4180 0.0000 0.0000 0.0000 8.0677" Properties=species:S:1:pos:R:3 pbc="T T T"
Cs 0.0000 0.0000 0.0000
Dy 0.0000 4.2787 4.0339
Hg 3.7055 2.1393 4.0339
Br -1.3822 2.4626 5.6919
Br -2.2639 3.9898 2.3758
Br 1.3822 2.4626 2.3758
Br -0.8818 6.3837 5.6919
Br 2.2639 3.9898 5.6919
Br 0.8818 6.3837 2.3758
```

Output
energy relative to the elements, uncorrected	-1.3889	eV/atom
crystal system	trigonal